[1]
Li2MgPt: relaxed, GGA-PBEsol.

VASP energy = -3.561 eV per atom
V = 62.6 Å³/f.u.
E_form = -407 meV per atom

a = 2.8777 Å, b = 3.7583 Å, c = 5.7904 Å
α = 90.00°, β = 90.00°, γ = 90.00°
Space group Pmm2 (No. 25)
One atom of each set of equivalent atoms:
Li 0.0000 0.0000 0.0000 x1
Li 0.5000 0.5000 0.2447 x1
Mg 0.0000 0.0000 0.5536 x1
Pt 0.5000 0.5000 0.7783 x1

[2]
Li2MgPt: relaxed, GGA-PBEsol.

VASP energy = -3.547 eV per atom
V = 60.4 Å³/f.u.
E_form = -393 meV per atom

a = 2.9920 Å, b = 4.4136 Å, c = 4.5773 Å
α = 90.00°, β = 90.00°, γ = 90.00°
Space group Pmmm (No. 47)
One atom of each set of equivalent atoms:
Li 0.0000 0.0000 0.0000 x1
Li 0.5000 0.5000 0.0000 x1
Mg 0.0000 0.5000 0.5000 x1
Pt 0.5000 0.0000 0.5000 x1

[3]
LiMgPt2: relaxed, GGA-PBEsol.

VASP energy = -5.059 eV per atom
V = 57.2 Å³/f.u.
E_form = -656 meV per atom

a = 3.9569 Å, b = 3.9569 Å, c = 7.3023 Å
α = 90.00°, β = 90.00°, γ = 90.00°
Space group I4/mmm (No. 139)
One atom of each set of equivalent atoms:
Li 0.0000 0.0000 0.0000 x2
Mg 0.0000 0.0000 0.5000 x2
Pt 0.0000 0.5000 0.2500 x4

[4]
Li2MgPt: relaxed, GGA-PBEsol.

VASP energy = -3.553 eV per atom
V = 61.2 Å³/f.u.
E_form = -399 meV per atom

a = 2.8480 Å, b = 4.5416 Å, c = 4.7488 Å
α = 90.00°, β = 95.15°, γ = 90.00°
Space group P2/m (No. 10)
One atom of each set of equivalent atoms:
Li 0.2402 0.0000 0.2828 x2
Mg 0.5000 0.5000 0.0000 x1
Pt 0.0000 0.5000 0.5000 x1

[5]
Li2MgPt: relaxed, GGA-PBEsol.

VASP energy = -3.553 eV per atom
V = 60.4 Å³/f.u.
E_form = -399 meV per atom

a = 3.8391 Å, b = 3.8391 Å, c = 4.0970 Å
α = 90.00°, β = 90.00°, γ = 90.00°
Space group P4/mmm (No. 123)
One atom of each set of equivalent atoms:
Li 0.0000 0.5000 0.0000 x2
Mg 0.0000 0.0000 0.5000 x1
Pt 0.5000 0.5000 0.5000 x1

[6]
Rb2LiMgTa: relaxed, GGA-PBEsol.

VASP energy = -2.231 eV per atom
V = 245.8 Å³/f.u.
E_form = 1426 meV per atom

a = 6.6416 Å, b = 6.6416 Å, c = 5.5713 Å
α = 90.00°, β = 90.00°, γ = 90.00°
Space group P4/mmm (No. 123)
One atom of each set of equivalent atoms:
Rb 0.0000 0.5000 0.0000 x2
Li 0.0000 0.0000 0.5000 x1
Mg 0.5000 0.5000 0.0000 x1
Ta 0.5000 0.5000 0.5000 x1

[7]
LiMgRe2: relaxed, GGA-PBEsol.

VASP energy = -7.250 eV per atom
V = 59.1 Å³/f.u.
excess energy over the best structure of this formula in the dataset = 0.138 eV/atom
E_form = 337 meV per atom

a = 5.1490 Å, b = 9.2170 Å, c = 2.6056 Å
α = 90.00°, β = 106.94°, γ = 90.00°
Space group C2/m (No. 12)
One atom of each set of equivalent atoms:
Li 0.0000 0.0000 0.0000 x2
Mg 0.0000 0.5000 0.0000 x2
Re 0.2500 0.2500 0.5000 x4

[8]
LiMgRe2: relaxed, GGA-PBEsol.

VASP energy = -7.351 eV per atom
V = 60.4 Å³/f.u.
excess energy over the best structure of this formula in the dataset = 0.036 eV/atom
E_form = 236 meV per atom

a = 2.6444 Å, b = 4.3239 Å, c = 5.3360 Å
α = 90.00°, β = 98.34°, γ = 90.00°
Space group Pm (No. 6)
One atom of each set of equivalent atoms:
Li 0.0000 0.0000 0.0000 x1
Mg 0.7760 0.5000 0.2294 x1
Re 0.2450 0.5000 0.7273 x1
Re 0.4619 0.0000 0.5317 x1

[9]
LiMgRe2: relaxed, GGA-PBEsol.

VASP energy = -7.387 eV per atom
V = 61.9 Å³/f.u.
excess energy over the best structure of this formula in the dataset = 0.000 eV/atom
E_form = 200 meV per atom

a = 3.0769 Å, b = 3.0769 Å, c = 6.5403 Å
α = 90.00°, β = 90.00°, γ = 90.00°
Space group P4mm (No. 99)
One atom of each set of equivalent atoms:
Li 0.0000 0.0000 0.0000 x1
Mg 0.5000 0.5000 0.2608 x1
Re 0.0000 0.0000 0.5529 x1
Re 0.5000 0.5000 0.7512 x1

[10]
LiMgRh: relaxed, GGA-PBEsol.

VASP energy = -4.129 eV per atom
V = 43.3 Å³/f.u.
excess energy over the best structure of this formula in the dataset = 0.019 eV/atom
E_form = -188 meV per atom

a = 4.2457 Å, b = 4.2457 Å, c = 2.7758 Å
α = 90.00°, β = 90.00°, γ = 120.00°
Space group P3m1 (No. 156)
One atom of each set of equivalent atoms:
Li 0.0000 0.0000 0.0000 x1
Mg 0.6667 0.3333 0.6503 x1
Rh 0.3333 0.6667 0.2271 x1

[11]
LiMgRh: relaxed, GGA-PBEsol.

VASP energy = -4.148 eV per atom
V = 43.1 Å³/f.u.
excess energy over the best structure of this formula in the dataset = 0.000 eV/atom
E_form = -207 meV per atom

a = 3.2024 Å, b = 3.2024 Å, c = 8.3972 Å
α = 90.00°, β = 90.00°, γ = 90.00°
Space group I4mm (No. 107)
One atom of each set of equivalent atoms:
Li 0.0000 0.0000 0.0000 x2
Mg 0.0000 0.0000 0.3114 x2
Rh 0.0000 0.0000 0.6472 x2

[12]
LiMg2Rh: relaxed, GGA-PBEsol.

VASP energy = -3.618 eV per atom
V = 63.8 Å³/f.u.
E_form = -234 meV per atom

a = 3.1658 Å, b = 4.4151 Å, c = 9.1301 Å
α = 90.00°, β = 90.00°, γ = 90.00°
Space group Imm2 (No. 44)
One atom of each set of equivalent atoms:
Li 0.0000 0.0000 0.0000 x2
Mg 0.0000 0.0000 0.5428 x2
Mg 0.0000 0.5000 0.7678 x2
Rh 0.0000 0.5000 0.2772 x2

[13]
Li3MgRh: relaxed, GGA-PBEsol.

VASP energy = -2.844 eV per atom
V = 94.6 Å³/f.u.
E_form = 307 meV per atom

a = 4.5565 Å, b = 4.5565 Å, c = 4.5565 Å
α = 90.00°, β = 90.00°, γ = 90.00°
Space group Pm-3m (No. 221)
One atom of each set of equivalent atoms:
Li 0.0000 0.0000 0.5000 x3
Mg 0.5000 0.5000 0.5000 x1
Rh 0.0000 0.0000 0.0000 x1

[14]
LiMgRh: relaxed, GGA-PBEsol.

VASP energy = -3.997 eV per atom
V = 46.9 Å³/f.u.
excess energy over the best structure of this formula in the dataset = 0.150 eV/atom
E_form = -57 meV per atom

a = 3.0181 Å, b = 4.6525 Å, c = 13.3617 Å
α = 90.00°, β = 90.00°, γ = 90.00°
Space group Fmm2 (No. 42)
One atom of each set of equivalent atoms:
Li 0.0000 0.0000 0.0000 x4
Mg 0.0000 0.0000 0.3033 x4
Rh 0.0000 0.0000 0.6488 x4

[15]
LiMg2Rh: relaxed, GGA-PBEsol.

VASP energy = -3.621 eV per atom
V = 64.0 Å³/f.u.
E_form = -236 meV per atom

a = 9.6812 Å, b = 3.1174 Å, c = 4.4990 Å
α = 90.00°, β = 109.61°, γ = 90.00°
Space group Cm (No. 8)
One atom of each set of equivalent atoms:
Li 0.0000 0.0000 0.0000 x2
Mg 0.0416 0.5000 0.5512 x2
Mg 0.2661 0.5000 0.2208 x2
Rh 0.2776 0.0000 0.7254 x2

[16]
LiMg2Rh: relaxed, GGA-PBEsol.

VASP energy = -3.552 eV per atom
V = 62.7 Å³/f.u.
E_form = -167 meV per atom

a = 6.3065 Å, b = 6.3065 Å, c = 6.3065 Å
α = 90.00°, β = 90.00°, γ = 90.00°
Space group F-43m (No. 216)
One atom of each set of equivalent atoms:
Li 0.0000 0.0000 0.0000 x4
Mg 0.0000 0.0000 0.5000 x4
Mg 0.2500 0.2500 0.7500 x4
Rh 0.2500 0.2500 0.2500 x4

We obtain total moment values of 0.00 0.00 0.00 0.00 0.00 4.39 0.00 0.00 0.00 0.00 0.00 0.00 0.00 0.00 0.00 0.00 μB/f.u. for the records listed above, in that order.